Model 1:
First-principles (PBE) data for crystalline DyHo3Rh2 at its relaxed geometry, as listed in Alexandria via LeMat-Bulk.

Values from the calculation:
The volume comes out at 26.48 Å³ per atom. The value obtained for the density of states at the Fermi level is 4.98 states/eV/f.u. The magnetic moment is 0.00 μB per formula unit.

The structure in CIF format:
```
data_DyHo3Rh2
_symmetry_space_group_name_H-M 'I b a m'
_symmetry_Int_Tables_number 72
_symmetry_space_group_name_Hall '-I 2 2c'
_cell_length_a 6.681
_cell_length_b 13.510
_cell_length_c 7.041
_cell_angle_alpha 90.00
_cell_angle_beta 90.00
_cell_angle_gamma 90.00
loop_
_atom_site_label
_atom_site_fract_x
_atom_site_fract_y
_atom_site_fract_z
Dy1 0.000 0.000 0.000
Ho1 0.000 0.232 0.250
Ho2 0.000 0.500 0.250
Rh1 0.211 0.362 0.000
```


Model 2:
First-principles (PBE) data for crystalline DyHo3Rh2 at its relaxed geometry, as listed in Alexandria via LeMat-Bulk.

Values from the calculation:
The volume comes out at 24.10 Å³ per atom. The value obtained for the density of states at the Fermi level is 5.93 states/eV/f.u. The magnetic moment is 0.00 μB per formula unit.

The structure in CIF format:
```
data_DyHo3Rh2
_symmetry_space_group_name_H-M 'P m c 21'
_symmetry_Int_Tables_number 26
_symmetry_space_group_name_Hall 'P 2c -2'
_cell_length_a 4.670
_cell_length_b 8.666
_cell_length_c 7.148
_cell_angle_alpha 90.00
_cell_angle_beta 90.00
_cell_angle_gamma 90.00
loop_
_atom_site_label
_atom_site_fract_x
_atom_site_fract_y
_atom_site_fract_z
Dy1 0.000 0.085 0.000
Ho1 0.000 0.332 0.629
Ho2 0.500 0.169 0.347
Ho3 0.500 0.415 0.976
Rh1 0.000 0.340 0.231
Rh2 0.500 0.160 0.744
```


Most stable structure - model 2; separation to the second - 0.088 eV/atom.


Model 1:
First-principles (PBE) data for crystalline Dy3HoRh2 at its relaxed geometry, as listed in Alexandria via LeMat-Bulk.

Values from the calculation:
The volume comes out at 27.16 Å³ per atom. The value obtained for the density of states at the Fermi level is 5.44 states/eV/f.u. The magnetic moment is 0.00 μB per formula unit.

The structure in CIF format:
```
data_Dy3HoRh2
_symmetry_space_group_name_H-M 'C 1 2/m 1'
_symmetry_Int_Tables_number 12
_symmetry_space_group_name_Hall '-C 2y'
_cell_length_a 16.048
_cell_length_b 4.246
_cell_length_c 10.649
_cell_angle_alpha 90.00
_cell_angle_beta 116.07
_cell_angle_gamma 90.00
loop_
_atom_site_label
_atom_site_fract_x
_atom_site_fract_y
_atom_site_fract_z
Dy1 0.054 0.000 0.212
Dy2 0.168 0.500 0.033
Dy3 0.210 0.000 0.592
Ho1 0.073 0.500 0.669
Rh1 0.118 0.500 0.412
Rh2 0.137 0.000 0.848
```


Model 2:
First-principles (PBE) data for crystalline Dy3HoRh2 at its relaxed geometry, as listed in Alexandria via LeMat-Bulk.

Values from the calculation:
The volume comes out at 24.27 Å³ per atom. The value obtained for the density of states at the Fermi level is 5.92 states/eV/f.u. The magnetic moment is 0.00 μB per formula unit.

The structure in CIF format:
```
data_Dy3HoRh2
_symmetry_space_group_name_H-M 'P m c 21'
_symmetry_Int_Tables_number 26
_symmetry_space_group_name_Hall 'P 2c -2'
_cell_length_a 4.699
_cell_length_b 8.677
_cell_length_c 7.144
_cell_angle_alpha 90.00
_cell_angle_beta 90.00
_cell_angle_gamma 90.00
loop_
_atom_site_label
_atom_site_fract_x
_atom_site_fract_y
_atom_site_fract_z
Dy1 0.000 0.086 0.000
Dy2 0.000 0.333 0.371
Dy3 0.500 0.167 0.653
Ho1 0.500 0.415 0.023
Rh1 0.000 0.340 0.769
Rh2 0.500 0.161 0.254
```


Most stable structure - model 2; separation to the second - 0.074 eV/atom.


Model 1:
First-principles (PBE) data for crystalline Dy2HoRu at its relaxed geometry, as listed in Alexandria via LeMat-Bulk.

Values from the calculation:
The volume comes out at 26.34 Å³ per atom. The value obtained for the density of states at the Fermi level is 2.94 states/eV/f.u. The magnetic moment is 0.00 μB per formula unit.

The structure in CIF format:
```
data_Dy2HoRu
_symmetry_space_group_name_H-M 'P n m a'
_symmetry_Int_Tables_number 62
_symmetry_space_group_name_Hall '-P 2ac 2n'
_cell_length_a 7.295
_cell_length_b 9.168
_cell_length_c 6.301
_cell_angle_alpha 90.00
_cell_angle_beta 90.00
_cell_angle_gamma 90.00
loop_
_atom_site_label
_atom_site_fract_x
_atom_site_fract_y
_atom_site_fract_z
Dy1 0.177 0.064 0.169
Ho1 0.041 0.250 0.633
Ru1 0.115 0.750 0.962
```


Model 2:
First-principles (PBE) data for crystalline Dy2HoRu at its relaxed geometry, as listed in Alexandria via LeMat-Bulk.

Values from the calculation:
The volume comes out at 28.03 Å³ per atom. The value obtained for the density of states at the Fermi level is 6.83 states/eV/f.u. The magnetic moment is 0.41 μB per formula unit.

The structure in CIF format:
```
data_Dy2HoRu
_symmetry_space_group_name_H-M 'R -3 m'
_symmetry_Int_Tables_number 166
_symmetry_space_group_name_Hall '-R 3 2"'
_cell_length_a 3.4886
_cell_length_b 3.4886
_cell_length_c 31.9175
_cell_angle_alpha 90.00
_cell_angle_beta 90.00
_cell_angle_gamma 120.00
loop_
_atom_site_label
_atom_site_fract_x
_atom_site_fract_y
_atom_site_fract_z
Dy1 0.0000 0.0000 0.1069
Ho1 0.0000 0.0000 0.0000
Ru1 0.0000 0.0000 0.5000
```


Model 3:
First-principles (PBE) data for crystalline Dy2HoRu at its relaxed geometry, as listed in Alexandria via LeMat-Bulk.

Values from the calculation:
The volume comes out at 26.05 Å³ per atom. The value obtained for the density of states at the Fermi level is 3.77 states/eV/f.u. The magnetic moment is 0.00 μB per formula unit.

The structure in CIF format:
```
data_Dy2HoRu
_symmetry_space_group_name_H-M 'P 4/m m m'
_symmetry_Int_Tables_number 123
_symmetry_space_group_name_Hall '-P 4 2'
_cell_length_a 3.427
_cell_length_b 3.427
_cell_length_c 8.873
_cell_angle_alpha 90.00
_cell_angle_beta 90.00
_cell_angle_gamma 90.00
loop_
_atom_site_label
_atom_site_fract_x
_atom_site_fract_y
_atom_site_fract_z
Dy1 0.000 0.000 0.186
Ho1 0.500 0.500 0.500
Ru1 0.500 0.500 0.000
```


Model 4:
First-principles (PBE) data for crystalline Dy2HoRu at its relaxed geometry, as listed in Alexandria via LeMat-Bulk.

Values from the calculation:
The volume comes out at 26.33 Å³ per atom. The value obtained for the density of states at the Fermi level is 3.05 states/eV/f.u. The magnetic moment is 0.00 μB per formula unit.

The structure in CIF format:
```
data_Dy2HoRu
_symmetry_space_group_name_H-M 'C m c m'
_symmetry_Int_Tables_number 63
_symmetry_space_group_name_Hall '-C 2c 2'
_cell_length_a 3.920
_cell_length_b 11.837
_cell_length_c 9.080
_cell_angle_alpha 90.00
_cell_angle_beta 90.00
_cell_angle_gamma 90.00
loop_
_atom_site_label
_atom_site_fract_x
_atom_site_fract_y
_atom_site_fract_z
Dy1 0.000 0.143 0.067
Ho1 0.000 0.424 0.250
Ru1 0.000 0.243 0.750
```


Most stable structure - model 1; separation to the second - 0.019 eV/atom.


Model 1:
First-principles (PBE) data for crystalline Dy2HoRu2 at its relaxed geometry, as listed in Alexandria via LeMat-Bulk.

Values from the calculation:
The volume comes out at 23.30 Å³ per atom. The value obtained for the density of states at the Fermi level is 2.61 states/eV/f.u. The magnetic moment is 0.00 μB per formula unit.

The structure in CIF format:
```
data_Dy2HoRu2
_symmetry_space_group_name_H-M 'C m m m'
_symmetry_Int_Tables_number 65
_symmetry_space_group_name_Hall '-C 2 2'
_cell_length_a 3.390
_cell_length_b 20.416
_cell_length_c 3.367
_cell_angle_alpha 90.00
_cell_angle_beta 90.00
_cell_angle_gamma 90.00
loop_
_atom_site_label
_atom_site_fract_x
_atom_site_fract_y
_atom_site_fract_z
Dy1 0.000 0.165 0.000
Ho1 0.000 0.000 0.000
Ru1 0.000 0.413 0.500
```


Model 2:
First-principles (PBE) data for crystalline Dy2HoRu2 at its relaxed geometry, as listed in Alexandria via LeMat-Bulk.

Values from the calculation:
The volume comes out at 23.26 Å³ per atom. The value obtained for the density of states at the Fermi level is 2.76 states/eV/f.u. The magnetic moment is 0.00 μB per formula unit.

The structure in CIF format:
```
data_Dy2HoRu2
_symmetry_space_group_name_H-M 'C m c 21'
_symmetry_Int_Tables_number 36
_symmetry_space_group_name_Hall 'C 2c -2'
_cell_length_a 4.240
_cell_length_b 11.173
_cell_length_c 9.820
_cell_angle_alpha 90.00
_cell_angle_beta 90.00
_cell_angle_gamma 90.00
loop_
_atom_site_label
_atom_site_fract_x
_atom_site_fract_y
_atom_site_fract_z
Dy1 0.000 0.094 0.000
Dy2 0.000 0.353 0.187
Ho1 0.000 0.354 0.814
Ru1 0.000 0.000 0.250
Ru2 0.000 0.192 0.499
```


Most stable structure - model 1; separation to the second - 0.051 eV/atom.


Model 1:
First-principles (PBE) data for crystalline DyHoRu at its relaxed geometry, as listed in Alexandria via LeMat-Bulk.

Values from the calculation:
The volume comes out at 24.87 Å³ per atom. The value obtained for the density of states at the Fermi level is 1.71 states/eV/f.u. The magnetic moment is 0.00 μB per formula unit.

The structure in CIF format:
```
data_DyHoRu
_symmetry_space_group_name_H-M 'P n m a'
_symmetry_Int_Tables_number 62
_symmetry_space_group_name_Hall '-P 2ac 2n'
_cell_length_a 6.777
_cell_length_b 3.399
_cell_length_c 12.960
_cell_angle_alpha 90.00
_cell_angle_beta 90.00
_cell_angle_gamma 90.00
loop_
_atom_site_label
_atom_site_fract_x
_atom_site_fract_y
_atom_site_fract_z
Dy1 0.125 0.250 0.123
Ho1 0.125 0.250 0.376
Ru1 0.125 0.250 0.750
```


Model 2:
First-principles (PBE) data for crystalline DyHoRu at its relaxed geometry, as listed in Alexandria via LeMat-Bulk.

Values from the calculation:
The volume comes out at 25.71 Å³ per atom. The value obtained for the density of states at the Fermi level is 2.40 states/eV/f.u. The magnetic moment is 0.00 μB per formula unit.

The structure in CIF format:
```
data_DyHoRu
_symmetry_space_group_name_H-M 'C 1 2/m 1'
_symmetry_Int_Tables_number 12
_symmetry_space_group_name_Hall '-C 2y'
_cell_length_a 14.129
_cell_length_b 3.480
_cell_length_c 6.761
_cell_angle_alpha 90.00
_cell_angle_beta 111.87
_cell_angle_gamma 90.00
loop_
_atom_site_label
_atom_site_fract_x
_atom_site_fract_y
_atom_site_fract_z
Dy1 0.021 0.000 0.257
Ho1 0.219 0.500 0.758
Ru1 0.117 0.500 0.048
```


Most stable structure - model 1; separation to the second - 0.083 eV/atom.


Model 1:
First-principles (PBE) data for crystalline Dy2Ho2Ru3 at its relaxed geometry, as listed in Alexandria via LeMat-Bulk.

Values from the calculation:
The volume comes out at 22.33 Å³ per atom. The value obtained for the density of states at the Fermi level is 3.83 states/eV/f.u. The magnetic moment is 0.00 μB per formula unit.

The structure in CIF format:
```
data_Dy2Ho2Ru3
_symmetry_space_group_name_H-M 'P 1 2/m 1'
_symmetry_Int_Tables_number 10
_symmetry_space_group_name_Hall '-P 2y'
_cell_length_a 6.799
_cell_length_b 3.356
_cell_length_c 7.617
_cell_angle_alpha 90.00
_cell_angle_beta 115.92
_cell_angle_gamma 90.00
loop_
_atom_site_label
_atom_site_fract_x
_atom_site_fract_y
_atom_site_fract_z
Dy1 0.126 0.000 0.246
Ho1 0.385 0.000 0.757
Ru1 0.252 0.500 0.005
Ru2 0.500 0.500 0.500
```


Model 2:
First-principles (PBE) data for crystalline Dy2Ho2Ru3 at its relaxed geometry, as listed in Alexandria via LeMat-Bulk.

Values from the calculation:
The volume comes out at 22.07 Å³ per atom. The value obtained for the density of states at the Fermi level is 4.87 states/eV/f.u. The magnetic moment is 0.00 μB per formula unit.

The structure in CIF format:
```
data_Dy2Ho2Ru3
_symmetry_space_group_name_H-M 'C 1 2/m 1'
_symmetry_Int_Tables_number 12
_symmetry_space_group_name_Hall '-C 2y'
_cell_length_a 8.440
_cell_length_b 4.867
_cell_length_c 8.015
_cell_angle_alpha 90.00
_cell_angle_beta 110.24
_cell_angle_gamma 90.00
loop_
_atom_site_label
_atom_site_fract_x
_atom_site_fract_y
_atom_site_fract_z
Dy1 0.123 0.000 0.370
Ho1 0.126 0.500 0.878
Ru1 0.000 0.500 0.500
Ru2 0.248 0.000 0.746
```


Most stable structure - model 1; separation to the second - 0.047 eV/atom.